Entry 1:
Entry from Alexandria via LeMat-Bulk: an optimized crystal structure of SrZn3Au3 (GGA-PBE).

## Properties
Excess energy over the best structure of this formula in the dataset: 0 meV per atom

Geometry as POSCAR:
```
SrZn3Au3
1.0
4.077 0.000 0.000
0.000 7.773 -4.439
0.000 -0.040 8.958
Zn Sr Au
6 2 6
direct
0.750 0.809 0.014 Zn
0.250 0.795 0.809 Zn
0.750 0.205 0.191 Zn
0.750 0.986 0.795 Zn
0.250 0.191 0.986 Zn
0.250 0.014 0.205 Zn
0.250 0.667 0.333 Sr
0.750 0.333 0.667 Sr
0.250 0.037 0.632 Au
0.250 0.368 0.405 Au
0.750 0.963 0.368 Au
0.250 0.595 0.963 Au
0.750 0.405 0.037 Au
0.750 0.632 0.595 Au
```

Entry 2:
Entry from Alexandria via LeMat-Bulk: an optimized crystal structure of Sr2ZnAu (GGA-PBE).

## Properties
Excess energy over the best structure of this formula in the dataset: 133 meV per atom

Geometry as POSCAR:
```
Sr2ZnAu
1.0
4.545 -0.006 -0.006
2.287 3.928 -0.006
2.265 1.301 7.676
Sr Zn Au
2 1 1
direct
0.994 0.994 0.018 Sr
0.506 0.506 0.482 Sr
0.750 0.750 0.750 Zn
0.250 0.250 0.250 Au
```

Entry 3:
Entry from Alexandria via LeMat-Bulk: an optimized crystal structure of SrZn2Au10 (GGA-PBE).

Geometry as POSCAR:
```
SrZn2Au10
1.0
5.560 0.000 0.000
2.780 6.969 0.000
2.780 0.000 6.481
Au Zn Sr
10 2 1
direct
0.509 0.764 0.218 Au
0.000 0.000 0.500 Au
0.500 0.000 0.500 Au
0.658 0.350 0.334 Au
0.992 0.350 0.666 Au
0.727 0.764 0.782 Au
0.008 0.650 0.334 Au
0.342 0.650 0.666 Au
0.273 0.236 0.218 Au
0.491 0.236 0.782 Au
0.000 0.500 0.000 Zn
0.500 0.500 0.000 Zn
0.000 0.000 0.000 Sr
```

| no. | energy (Ha/atom) | ΔH_f (0 K) (meV per atom) |
| --- | --- | --- |
| 1 | -0.092 | -325.2 |
| 2 | -0.087 | -378.3 |
| 3 | -0.114 | -265.1 |